Entry 1:
Compound: LaUN2
Source: the Alexandria database
Functional: GGA-PBE
Structure: relaxed

Computed properties:
Raw formation energy in kJ/mol of atoms: -114
Volume in Å³ per atom: 16.44
Size of the total moment in μB/cell: 3.89

Cell: 3.4975 3.4975 18.6225 Å, 90.00 90.00 120.00°
With the nearest neighbours (Å) after each atom.
Space group R3m (No. 160, hexagonal axes)
Symmetry-distinct sites (fractional):
La 0.0000 0.0000 0.0000 (multiplicity 3)  6 N 2.61-2.89
U 0.0000 0.0000 0.8237 (multiplicity 3)  6 N 2.35-2.38
N 0.0000 0.0000 0.2220 (multiplicity 3)  3 U 2.35
N 0.0000 0.0000 0.4224 (multiplicity 3)  3 U 2.38, 3 La 2.61

Entry 2:
Compound: NdDySbAs
Source: the Alexandria database
Functional: GGA-PBE
Structure: relaxed

Computed properties:
Raw formation energy in kJ/mol of atoms: -128
Volume in Å³ per atom: 28.61
Size of the total moment in μB/cell: 0.00

Cell: 4.3116 4.3116 21.3239 Å, 90.00 90.00 120.00°
With the nearest neighbours (Å) after each atom.
Space group R3m (No. 160, hexagonal axes)
Symmetry-distinct sites (fractional):
Nd 0.0000 0.0000 0.0000 (multiplicity 3)  3 As 3.03, 3 Sb 3.17
Dy 0.0000 0.0000 0.4889 (multiplicity 3)  3 As 2.96, 3 Sb 3.09
Sb 0.0000 0.0000 0.2414 (multiplicity 3)  3 Dy 3.09, 3 Nd 3.17
As 0.0000 0.0000 0.7474 (multiplicity 3)  3 Dy 2.96, 3 Nd 3.03

Entry 3:
Compound: Tl3Pb5I12
Source: the Alexandria database
Functional: GGA-PBE
Structure: relaxed

Computed properties:
Raw formation energy in kJ/mol of atoms: -50
Volume in Å³ per atom: 50.09
Size of the total moment in μB/cell: 0.00

Cell: 20.0117 20.0117 20.0117 Å, 90.00 90.00 90.00°
With the nearest neighbours (Å) after each atom.
Space group Ia-3d (No. 230)
Symmetry-distinct sites (fractional):
Tl 0.0000 0.2500 0.1250 (multiplicity 24)  8 I 3.76-3.86
Pb 0.0000 0.0000 0.0000 (multiplicity 16)  6 I 3.28
Pb 0.0000 0.2500 0.3750 (multiplicity 24)  4 I 3.14
I 0.0251 0.0654 0.6482 (multiplicity 96)  2 Pb 3.14-3.28